A plane-wave DFT calculation with PBE-GGA was carried out for an optimized crystal structure of Ho3Sc4Sb4.

## Properties
Magnetic moment = 0.000 μB/cell
Electronic total energy = -64.13 eV for the cell shown
Calculated density = 6.773 Mg/m³

a b c (Å): 9.179 9.179 9.179
angles (deg): 153.98 122.19 64.45
Positions (direct):
Ho1 0.000 0.000 0.000
Ho2 0.387 0.887 0.500
Ho3 0.613 0.113 0.500
Sc1 0.024 0.324 0.700
Sc2 0.377 0.676 0.700
Sc3 0.623 0.324 0.300
Sc4 0.976 0.676 0.300
Sb1 0.234 0.234 0.000
Sb2 0.289 0.500 0.789
Sb3 0.711 0.500 0.211
Sb4 0.766 0.766 0.000

=====

A plane-wave DFT calculation with PBE-GGA was carried out for an optimized crystal structure of Ho3ScSb4.

## Properties
Magnetic moment = 0.000 μB/cell
Electronic total energy = -45.01 eV for the cell shown
Calculated density = 7.466 Mg/m³

a b c (Å): 6.113 6.113 6.113
angles (deg): 90.00 90.00 90.00
Positions (direct):
Ho1 0.000 0.000 0.500
Ho2 0.000 0.500 0.000
Ho3 0.500 0.000 0.000
Sc1 0.500 0.500 0.500
Sb1 0.000 0.000 0.000
Sb2 0.000 0.500 0.500
Sb3 0.500 0.000 0.500
Sb4 0.500 0.500 0.000

=====

A plane-wave DFT calculation with PBE-GGA was carried out for an optimized crystal structure of Ho5Sc2Sb5.

## Properties
Magnetic moment = 0.000 μB/cell
Electronic total energy = -66.01 eV for the cell shown
Calculated density = 7.339 Mg/m³

a b c (Å): 7.369 7.369 12.237
angles (deg): 110.77 110.77 33.95
Positions (direct):
Ho1 0.000 0.000 0.000
Ho2 0.162 0.162 0.533
Ho3 0.224 0.224 0.845
Ho4 0.776 0.776 0.155
Ho5 0.838 0.838 0.467
Sc1 0.446 0.446 0.705
Sc2 0.554 0.554 0.295
Sb1 0.189 0.189 0.283
Sb2 0.388 0.388 0.080
Sb3 0.500 0.500 0.500
Sb4 0.612 0.612 0.920
Sb5 0.811 0.811 0.717

=====

A plane-wave DFT calculation with PBE-GGA was carried out for an optimized crystal structure of Ho2ScSb.

## Properties
Magnetic moment = 0.000 μB/cell
Electronic total energy = -21.62 eV for the cell shown
Calculated density = 7.750 Mg/m³

a b c (Å): 4.054 4.054 6.473
angles (deg): 90.00 90.00 90.00
Positions (direct):
Ho1 0.000 0.000 0.243
Ho2 0.000 0.000 0.757
Sc1 0.500 0.500 0.500
Sb1 0.500 0.500 0.000